Entry 1:
KRb2UCl8 | PBE-GGA | relaxed

Unit cell a=6.632 b=7.716 c=9.866 alpha=89.94 beta=89.95 gamma=88.49
Fractional positions:
1 K 0.000 0.000 0.000
2 Rb 0.498 0.500 0.769
3 Rb 0.502 0.500 0.231
4 U 0.000 0.000 0.500
5 Cl 0.215 0.133 0.317
6 Cl 0.216 0.131 0.683
7 Cl 0.227 0.728 0.499
8 Cl 0.286 0.704 0.001
9 Cl 0.714 0.296 0.999
10 Cl 0.773 0.272 0.501
11 Cl 0.784 0.869 0.317
12 Cl 0.785 0.867 0.683

***

Entry 2:
KRb3V2Cl9 | PBE-GGA | relaxed

Results
DOS(E_F) = 13.81 states/eV per cell

Unit cell a=7.217 b=7.217 c=9.744 alpha=90.00 beta=90.00 gamma=120.00
Fractional positions:
1 K 0.000 0.000 0.000
2 Rb 0.000 0.000 0.500
3 Rb 0.333 0.667 0.212
4 Rb 0.667 0.333 0.788
5 V 0.333 0.667 0.651
6 V 0.667 0.333 0.349
7 Cl 0.000 0.500 0.500
8 Cl 0.176 0.353 0.788
9 Cl 0.176 0.824 0.788
10 Cl 0.353 0.176 0.212
11 Cl 0.500 0.000 0.500
12 Cl 0.500 0.500 0.500
13 Cl 0.647 0.824 0.788
14 Cl 0.824 0.176 0.212
15 Cl 0.824 0.647 0.212

***

Entry 3:
KRbVCl6 | PBE-GGA | relaxed

Results
DOS(E_F) = 7.97 states/eV per cell

Unit cell a=7.401 b=7.401 c=6.550 alpha=90.01 beta=90.01 gamma=120.05
Fractional positions:
1 K 0.000 0.000 0.000
2 Rb 0.334 0.666 0.500
3 V 0.667 0.333 0.000
4 Cl 0.410 0.076 0.793
5 Cl 0.411 0.334 0.208
6 Cl 0.666 0.076 0.208
7 Cl 0.666 0.589 0.792
8 Cl 0.924 0.334 0.792
9 Cl 0.924 0.590 0.207

***

Entry 4:
KRbVCl4 | PBE-GGA | relaxed

Results
DOS(E_F) = 0.78 states/eV per cell

Unit cell a=8.754 b=8.754 c=8.754 alpha=146.89 beta=146.89 gamma=47.53
Fractional positions:
1 K 0.000 0.000 0.000
2 Rb 0.284 0.284 0.000
3 V 0.642 0.642 0.000
4 Cl 0.137 0.637 0.500
5 Cl 0.486 0.486 0.000
6 Cl 0.637 0.137 0.500
7 Cl 0.798 0.798 0.000

***

Entry 5:
KRbWCl6 | PBE-GGA | relaxed

Results
DOS(E_F) = 20.42 states/eV per cell

Unit cell a=7.727 b=7.727 c=11.638 alpha=90.00 beta=90.00 gamma=120.00
Fractional positions:
1 K 0.000 0.000 0.000
2 K 0.000 0.000 0.500
3 Rb 0.333 0.667 0.250
4 Rb 0.667 0.333 0.750
5 W 0.333 0.667 0.750
6 W 0.667 0.333 0.250
7 Cl 0.084 0.410 0.630
8 Cl 0.084 0.675 0.870
9 Cl 0.325 0.410 0.870
10 Cl 0.325 0.916 0.630
11 Cl 0.410 0.084 0.130
12 Cl 0.410 0.325 0.370
13 Cl 0.590 0.675 0.630
14 Cl 0.590 0.916 0.870
15 Cl 0.675 0.084 0.370
16 Cl 0.675 0.590 0.130
17 Cl 0.916 0.325 0.130
18 Cl 0.916 0.590 0.370

***

Entry 6:
KRb2WCl6 | PBE-GGA | relaxed

Results
offset from the most stable computed form = 0 meV/atom

Unit cell a=15.391 b=15.391 c=15.391 alpha=27.57 beta=27.57 gamma=27.57
Fractional positions:
1 K 0.086 0.086 0.086
2 K 0.914 0.914 0.914
3 Rb 0.191 0.191 0.191
4 Rb 0.358 0.358 0.358
5 Rb 0.642 0.642 0.642
6 Rb 0.809 0.809 0.809
7 W 0.000 0.000 0.000
8 W 0.500 0.500 0.500
9 Cl 0.125 0.125 0.652
10 Cl 0.125 0.652 0.125
11 Cl 0.219 0.689 0.689
12 Cl 0.311 0.311 0.781
13 Cl 0.311 0.781 0.311
14 Cl 0.348 0.875 0.875
15 Cl 0.652 0.125 0.125
16 Cl 0.689 0.219 0.689
17 Cl 0.689 0.689 0.219
18 Cl 0.781 0.311 0.311
19 Cl 0.875 0.348 0.875
20 Cl 0.875 0.875 0.348

***

Entry 7:
KRb2WCl8 | PBE-GGA | relaxed

Results
DOS(E_F) = 6.65 states/eV per cell

Unit cell a=5.703 b=7.803 c=9.330 alpha=83.13 beta=84.33 gamma=86.90
Fractional positions:
1 K 0.000 0.000 0.000
2 Rb 0.228 0.506 0.209
3 Rb 0.772 0.494 0.791
4 W 0.000 0.000 0.500
5 Cl 0.213 0.239 0.529
6 Cl 0.214 0.827 0.672
7 Cl 0.265 0.326 0.920
8 Cl 0.277 0.929 0.310
9 Cl 0.723 0.071 0.690
10 Cl 0.735 0.674 0.080
11 Cl 0.786 0.173 0.328
12 Cl 0.787 0.761 0.471

***

Entry 8:
KRb2WCl6 | PBE-GGA | relaxed

Results
offset from the most stable computed form = 7 meV/atom
DOS(E_F) = 0.00 states/eV per cell

Unit cell a=7.680 b=7.680 c=7.680 alpha=60.00 beta=60.00 gamma=60.00
Fractional positions:
1 K 0.000 0.000 0.000
2 Rb 0.250 0.250 0.250
3 Rb 0.750 0.750 0.750
4 W 0.500 0.500 0.500
5 Cl 0.274 0.274 0.726
6 Cl 0.274 0.726 0.274
7 Cl 0.274 0.726 0.726
8 Cl 0.726 0.274 0.274
9 Cl 0.726 0.274 0.726
10 Cl 0.726 0.726 0.274

***

Entry 9:
KRbZn2Cl6 | PBE-GGA | relaxed

Results
DOS(E_F) = 0.00 states/eV per cell

Unit cell a=8.995 b=8.995 c=9.788 alpha=98.16 beta=98.16 gamma=111.14
Fractional positions:
1 K 0.094 0.906 0.750
2 K 0.906 0.094 0.250
3 Rb 0.429 0.571 0.250
4 Rb 0.571 0.429 0.750
5 Zn 0.020 0.312 0.831
6 Zn 0.312 0.020 0.331
7 Zn 0.688 0.980 0.669
8 Zn 0.980 0.688 0.169
9 Cl 0.029 0.462 0.179
10 Cl 0.091 0.839 0.409
11 Cl 0.161 0.909 0.091
12 Cl 0.267 0.314 0.908
13 Cl 0.314 0.267 0.408
14 Cl 0.462 0.029 0.679
15 Cl 0.538 0.971 0.321
16 Cl 0.686 0.733 0.592
17 Cl 0.733 0.686 0.092
18 Cl 0.839 0.091 0.909
19 Cl 0.909 0.161 0.591
20 Cl 0.971 0.538 0.821

***

Entry 10:
K2RbZrCl8 | PBE-GGA | relaxed

Results
DOS(E_F) = 1.22 states/eV per cell

Unit cell a=6.025 b=7.164 c=9.653 alpha=89.92 beta=89.58 gamma=89.51
Fractional positions:
1 K 0.004 0.000 0.222
2 K 0.996 0.000 0.778
3 Rb 0.500 0.500 0.500
4 Zr 0.500 0.500 0.000
5 Cl 0.258 0.378 0.190
6 Cl 0.262 0.373 0.812
7 Cl 0.273 0.989 0.500
8 Cl 0.289 0.800 0.997
9 Cl 0.711 0.200 0.003
10 Cl 0.727 0.011 0.500
11 Cl 0.738 0.627 0.188
12 Cl 0.742 0.622 0.810

***

| no. | raw formation energy (eV per formula unit) |
| --- | --- |
| 1 | -21.33 |
| 2 | -24.04 |
| 3 | -13.44 |
| 4 | -11.16 |
| 5 | -11.90 |
| 6 | -14.35 |
| 7 | -16.46 |
| 8 | -14.28 |
| 9 | -14.85 |
| 10 | -20.47 |